An optimized crystal structure of Cs2SiH4. Source: Alexandria via LeMat-Bulk, functional PBE.

## Properties
Space-group type: P2_1/m (11)
Raw total energy, eV per atom: -3.079
N(E_F), states/eV per atom: 0.00

The structure in POSCAR format:
```
Cs2SiH4
1.0
7.1880 0.0000 0.0000
0.0000 5.2449 0.0000
-3.5378 0.0000 8.7801
Cs Si H
4 2 8
Direct
0.2176 0.2500 0.1549
0.2769 0.2500 0.7407
0.7231 0.7500 0.2593
0.7824 0.7500 0.8451
0.3228 0.7500 0.4505
0.6772 0.2500 0.5495
0.1625 0.5360 0.4166
0.1625 0.9640 0.4166
0.2494 0.7500 0.9696
0.3628 0.7500 0.6218
0.6372 0.2500 0.3782
0.7506 0.2500 0.0304
0.8375 0.0360 0.5834
0.8375 0.4640 0.5834
```



An optimized crystal structure of CsSi3H12. Source: Alexandria via LeMat-Bulk, functional PBE.

## Properties
Space-group type: R3c (161)
Raw total energy, eV per atom: -3.563
N(E_F), states/eV per atom: 0.15

The structure in POSCAR format:
```
CsSi3H12
1.0
4.3018 2.4836 6.7552
-4.3018 2.4836 6.7552
0.0000 -4.9673 6.7552
Cs Si H
2 6 24
Direct
0.0000 0.0000 0.0000
0.5000 0.5000 0.5000
0.0207 0.4477 0.0272
0.0272 0.0207 0.4477
0.4477 0.0272 0.0207
0.5207 0.5272 0.9477
0.5272 0.9477 0.5207
0.9477 0.5207 0.5272
0.0858 0.4027 0.1862
0.0979 0.8461 0.3917
0.1631 0.4471 0.4499
0.1749 0.3945 0.8539
0.1862 0.0858 0.4027
0.3461 0.5979 0.8917
0.3539 0.8945 0.6749
0.3917 0.0979 0.8461
0.3945 0.8539 0.1749
0.4027 0.1862 0.0858
0.4471 0.4499 0.1631
0.4499 0.1631 0.4471
0.5858 0.6862 0.9027
0.5979 0.8917 0.3461
0.6631 0.9499 0.9471
0.6749 0.3539 0.8945
0.6862 0.9027 0.5858
0.8461 0.3917 0.0979
0.8539 0.1749 0.3945
0.8917 0.3461 0.5979
0.8945 0.6749 0.3539
0.9027 0.5858 0.6862
0.9471 0.6631 0.9499
0.9499 0.9471 0.6631
```



An optimized crystal structure of CsSiH2. Source: Alexandria via LeMat-Bulk, functional PBE.

## Properties
Space-group type: C2/c (15)
Raw total energy, eV per atom: -3.329
N(E_F), states/eV per atom: 0.13

The structure in POSCAR format:
```
CsSiH2
1.0
3.4665 -9.9294 0.0000
3.4665 9.9294 0.0000
-3.3793 0.0000 3.4839
Cs Si H
2 2 4
Direct
0.1354 0.8646 0.7500
0.8646 0.1354 0.2500
0.4847 0.5153 0.2500
0.5153 0.4847 0.7500
0.2022 0.3335 0.0188
0.3335 0.2022 0.5188
0.6665 0.7978 0.4812
0.7978 0.6665 0.9812
```



An optimized crystal structure of CsTlSiH6. Source: Alexandria via LeMat-Bulk, functional PBE.

## Properties
Space-group type: C2 (5)
Raw total energy, eV per atom: -3.188
N(E_F), states/eV per atom: 0.00

The structure in POSCAR format:
```
CsTlSiH6
1.0
2.9112 -5.0559 0.0000
2.9112 5.0559 0.0000
-0.0041 0.0000 5.3576
Cs Tl Si H
1 1 1 6
Direct
0.0000 0.0000 0.0000
0.6665 0.3335 0.5000
0.3335 0.6665 0.5000
0.1020 0.4425 0.3277
0.1033 0.6593 0.6732
0.3411 0.4440 0.6732
0.3407 0.8967 0.3268
0.5560 0.6589 0.3268
0.5575 0.8980 0.6723
```



An optimized crystal structure of CsSiH2W. Source: Alexandria via LeMat-Bulk, functional PBE.

## Properties
Space-group type: P4/mmm (123)
Raw total energy, eV per atom: -3.319
N(E_F), states/eV per atom: 0.70

The structure in POSCAR format:
```
CsSiH2W
1.0
4.1007 0.0000 0.0000
0.0000 4.1007 0.0000
0.0000 0.0000 6.0070
Cs Si H W
1 1 2 1
Direct
0.0000 0.0000 0.0000
0.5000 0.5000 0.0000
0.0000 0.5000 0.5000
0.5000 0.0000 0.5000
0.0000 0.0000 0.5000
```



An optimized crystal structure of CsSmH. Source: Alexandria via LeMat-Bulk, functional PBE.

## Properties
Space-group type: Amm2 (38)
Raw total energy, eV per atom: -2.778
N(E_F), states/eV per atom: 0.51

The structure in POSCAR format:
```
CsSmH
1.0
14.8853 0.0000 0.0000
0.0000 1.8954 3.2786
0.0000 -1.8954 3.2786
Cs Sm H
2 2 2
Direct
0.1330 0.0000 0.0000
0.8670 0.0000 0.0000
0.3947 0.3474 0.3474
0.6053 0.3474 0.3474
0.0000 0.3335 0.3335
0.5000 0.0158 0.0158
```



An optimized crystal structure of CsSm2H. Source: Alexandria via LeMat-Bulk, functional PBE.

## Properties
Space-group type: R-3m (166)
Raw total energy, eV per atom: -3.325
N(E_F), states/eV per atom: 0.69

The structure in POSCAR format:
```
CsSm2H
1.0
1.8795 1.0851 10.3240
-1.8795 1.0851 10.3240
0.0000 -2.1702 10.3240
Cs Sm H
1 2 1
Direct
0.0000 0.0000 0.0000
0.1235 0.1235 0.1235
0.8765 0.8765 0.8765
0.5000 0.5000 0.5000
```



An optimized crystal structure of Cs3SnH. Source: Alexandria via LeMat-Bulk, functional PBE.

## Properties
Space-group type: Cm (8)
Raw total energy, eV per atom: -2.045
N(E_F), states/eV per atom: 0.37

The structure in POSCAR format:
```
Cs3SnH
1.0
7.3124 -4.2220 0.0000
7.3124 4.2220 0.0000
-4.8798 0.0000 7.3650
Cs Sn H
6 2 2
Direct
0.0000 0.0000 0.0000
0.3377 0.8149 0.4897
0.4771 0.9995 0.0000
0.8149 0.3377 0.4897
0.8148 0.8148 0.4898
0.9995 0.4771 0.0000
0.3435 0.3435 0.5528
0.4711 0.4711 0.9364
0.0699 0.0699 0.7325
0.7449 0.7449 0.7574
```



An optimized crystal structure of Cs2SnH4. Source: Alexandria via LeMat-Bulk, functional PBE.

## Properties
Space-group type: I-42d (122)
Raw total energy, eV per atom: -2.607
N(E_F), states/eV per atom: 0.10

The structure in POSCAR format:
```
Cs2SnH4
1.0
-4.7131 4.7131 4.0221
4.7131 -4.7131 4.0221
4.7131 4.7131 -4.0221
Cs Sn H
4 2 8
Direct
0.0614 0.6250 0.9364
0.3750 0.3114 0.4364
0.6886 0.1250 0.0636
0.8750 0.9386 0.5636
0.2500 0.7500 0.5000
0.5000 0.5000 0.0000
0.0856 0.8153 0.3488
0.1847 0.5336 0.2703
0.2633 0.9144 0.7297
0.2836 0.4347 0.7703
0.4664 0.7367 0.6512
0.4867 0.7164 0.1512
0.5653 0.3356 0.8488
0.6644 0.5133 0.2297
```



An optimized crystal structure of CsSnH3. Source: Alexandria via LeMat-Bulk, functional PBE.

## Properties
Space-group type: R3c (161)
Raw total energy, eV per atom: -3.064
N(E_F), states/eV per atom: 0.00

The structure in POSCAR format:
```
CsSnH3
1.0
3.4337 1.9825 5.3702
-3.4337 1.9825 5.3702
0.0000 -3.9649 5.3702
Cs Sn H
2 2 6
Direct
0.0000 0.0000 0.0000
0.5000 0.5000 0.5000
0.2578 0.2578 0.2578
0.7578 0.7578 0.7578
0.0463 0.4417 0.0869
0.0869 0.0463 0.4417
0.4417 0.0869 0.0463
0.5463 0.5869 0.9417
0.5869 0.9417 0.5463
0.9417 0.5463 0.5869
```



An optimized crystal structure of CsSnH. Source: Alexandria via LeMat-Bulk, functional PBE.

## Properties
Space-group type: Pnma (62)
Raw total energy, eV per atom: -2.881
N(E_F), states/eV per atom: 0.05

The structure in POSCAR format:
```
CsSnH
1.0
10.9397 0.0000 0.0000
0.0000 5.6573 0.0000
0.0000 0.0000 6.9887
Cs Sn H
4 4 4
Direct
0.1712 0.2500 0.0650
0.3288 0.7500 0.5650
0.6712 0.2500 0.4350
0.8288 0.7500 0.9350
0.0275 0.2500 0.5481
0.4725 0.7500 0.0481
0.5275 0.2500 0.9519
0.9725 0.7500 0.4519
0.0784 0.7500 0.2484
0.4216 0.2500 0.7484
0.5784 0.7500 0.2516
0.9216 0.2500 0.7516
```



An optimized crystal structure of Cs4Sn2H. Source: Alexandria via LeMat-Bulk, functional PBE.

## Properties
Space-group type: I4/mmm (139)
Raw total energy, eV per atom: -2.157
N(E_F), states/eV per atom: 0.84

The structure in POSCAR format:
```
Cs4Sn2H
1.0
-3.6572 3.6572 8.1543
3.6572 -3.6572 8.1543
3.6572 3.6572 -8.1543
Cs Sn H
4 2 1
Direct
0.0000 0.5000 0.5000
0.1793 0.1793 0.0000
0.5000 0.0000 0.5000
0.8207 0.8207 0.0000
0.4159 0.4159 0.0000
0.5841 0.5841 0.0000
0.0000 0.0000 0.0000
```



An optimized crystal structure of Cs3Sn2H4. Source: Alexandria via LeMat-Bulk, functional PBE.

## Properties
Space-group type: C2/c (15)
Raw total energy, eV per atom: -2.767
N(E_F), states/eV per atom: 0.40

The structure in POSCAR format:
```
Cs3Sn2H4
1.0
6.7493 -3.9510 0.0000
6.7493 3.9510 0.0000
-2.6795 0.0000 11.0173
Cs Sn H
6 4 8
Direct
0.1703 0.8297 0.7500
0.1717 0.5493 0.3617
0.4507 0.8283 0.1383
0.5493 0.1717 0.8617
0.8283 0.4507 0.6383
0.8297 0.1703 0.2500
0.0006 0.3068 0.9895
0.3068 0.0006 0.4895
0.6932 0.9994 0.5105
0.9994 0.6932 0.0105
0.1136 0.2652 0.1478
0.2411 0.5853 0.9533
0.2652 0.1136 0.6478
0.4147 0.7589 0.5467
0.5853 0.2411 0.4533
0.7348 0.8864 0.3522
0.7589 0.4147 0.0467
0.8864 0.7348 0.8522
```



An optimized crystal structure of CsSnH3. Source: Alexandria via LeMat-Bulk, functional PBE.

## Properties
Space-group type: Pm-3m (221)
Raw total energy, eV per atom: -1.877
N(E_F), states/eV per atom: 0.20

The structure in POSCAR format:
```
CsSnH3
1.0
4.9032 0.0000 0.0000
0.0000 4.9032 0.0000
0.0000 0.0000 4.9032
Cs Sn H
1 1 3
Direct
0.0000 0.0000 0.0000
0.5000 0.5000 0.5000
0.0000 0.0000 0.5000
0.0000 0.5000 0.0000
0.5000 0.0000 0.0000
```



An optimized crystal structure of Cs2SnH4. Source: Alexandria via LeMat-Bulk, functional PBE.

## Properties
Space-group type: I4/mmm (139)
Raw total energy, eV per atom: -2.715
N(E_F), states/eV per atom: 0.25

The structure in POSCAR format:
```
Cs2SnH4
1.0
-2.2600 2.2600 7.6693
2.2600 -2.2600 7.6693
2.2600 2.2600 -7.6693
Cs Sn H
2 1 4
Direct
0.1432 0.1432 0.0000
0.8568 0.8568 0.0000
0.5000 0.5000 0.0000
0.0000 0.5000 0.5000
0.3542 0.3542 0.0000
0.5000 0.0000 0.5000
0.6458 0.6458 0.0000
```



An optimized crystal structure of Cs3SnH. Source: Alexandria via LeMat-Bulk, functional PBE.

## Properties
Space-group type: Pm-3m (221)
Raw total energy, eV per atom: -2.029
N(E_F), states/eV per atom: 0.46

The structure in POSCAR format:
```
Cs3SnH
1.0
6.1292 0.0000 0.0000
0.0000 6.1292 0.0000
0.0000 0.0000 6.1292
Cs Sn H
3 1 1
Direct
0.0000 0.0000 0.5000
0.0000 0.5000 0.0000
0.5000 0.0000 0.0000
0.5000 0.5000 0.5000
0.0000 0.0000 0.0000
```



An optimized crystal structure of Cs2Sn2H7. Source: Alexandria via LeMat-Bulk, functional PBE.

## Properties
Space-group type: P-1 (2)
Raw total energy, eV per atom: -3.017
N(E_F), states/eV per atom: 0.06

The structure in POSCAR format:
```
Cs2Sn2H7
1.0
5.2623 0.0000 0.0000
0.0349 5.8240 0.0000
2.4948 0.8392 7.2866
Cs Sn H
2 2 7
Direct
0.1481 0.2413 0.2260
0.8519 0.7587 0.7740
0.4065 0.2791 0.6625
0.5935 0.7209 0.3375
0.0676 0.2671 0.6572
0.3223 0.4965 0.8338
0.3494 0.0504 0.8530
0.5000 0.0000 0.5000
0.6506 0.9496 0.1470
0.6777 0.5035 0.1662
0.9324 0.7329 0.3428
```



An optimized crystal structure of CsSnH. Source: Alexandria via LeMat-Bulk, functional PBE.

## Properties
Space-group type: P2_1 (4)
Raw total energy, eV per atom: -2.881
N(E_F), states/eV per atom: 0.06

The structure in POSCAR format:
```
CsSnH
1.0
6.1128 0.0000 0.0000
0.0000 5.6591 0.0000
-2.9557 0.0000 6.2849
Cs Sn H
2 2 2
Direct
0.1424 0.0000 0.3028
0.8576 0.5000 0.6972
0.4868 0.9961 0.9298
0.5132 0.4961 0.0702
0.1548 0.9959 0.8120
0.8452 0.4959 0.1880
```



An optimized crystal structure of CsSnH3. Source: Alexandria via LeMat-Bulk, functional PBE.

## Properties
Space-group type: Cm (8)
Raw total energy, eV per atom: -3.064
N(E_F), states/eV per atom: 0.00

The structure in POSCAR format:
```
CsSnH3
1.0
3.3277 -3.4286 0.0000
3.3277 3.4286 0.0000
-0.1863 0.0000 4.8214
Cs Sn H
1 1 3
Direct
0.0000 0.0000 0.0000
0.4855 0.4855 0.4811
0.4863 0.4863 0.8609
0.4925 0.8701 0.4931
0.8701 0.4925 0.4931
```